Entry 1:
Computed, not measured: a geometry-optimized CsNaCr3 structure at the PBE level of DFT.

Cell and atoms, written as POSCAR:
```
CsNaCr3
1.0
-5.6444 2.7021 0.0243
-2.2442 -4.7189 3.4434
1.5052 3.0971 5.2253
Cr Cs Na
3 1 1
Cartesian
0.7526 1.5485 2.6127
-1.1221 -2.3595 1.7217
-2.8222 1.3511 0.0122
0.0000 0.0000 0.0000
-3.1917 0.5402 4.3465
```

Output
VASP energy (eV/atom): -4.054
Total magnetization (μB per cell): 16.36
Crystal system: cubic
E_form (kJ/mol of formula units): 1039
Space-group type: Pm-3m, No. 221

***

Entry 2:
Computed, not measured: a geometry-optimized PuZrIn2 structure at the PBE level of DFT.

Cell and atoms, written as POSCAR:
```
PuZrIn2
1.0
-3.3474 2.0610 -3.3772
-1.2962 -2.6109 -4.2850
-4.7586 -1.9963 -0.4781
In Pu Zr
2 1 1
Cartesian
-2.3506 -0.6366 -2.0351
-7.0517 -1.9097 -6.1053
0.0000 0.0000 0.0000
-4.7011 -1.2731 -4.0702
```

Output
VASP energy (eV/atom): -7.192
Total magnetization (μB per cell): 6.04
Crystal system: cubic
E_form (kJ/mol of formula units): -40
Energy above the most stable polymorph in this dataset (meV/atom): 143
Space-group type: Fm-3m, No. 225

***

Entry 3:
Computed, not measured: a geometry-optimized TiGe2ClF structure at the PBE level of DFT.

Cell and atoms, written as POSCAR:
```
TiGe2ClF
1.0
-1.8659 -4.1483 2.5641
2.8925 -2.1292 -1.3399
2.8741 1.2825 4.1665
Ti Ge Cl F
1 2 1 1
Cartesian
1.4463 -1.0646 -0.6699
-0.9329 -2.0742 1.2820
1.4370 0.6413 2.0832
1.9504 -2.4975 2.6953
0.0000 0.0000 0.0000
```

Output
VASP energy (eV/atom): -4.256
Total magnetization (μB per cell): 0.01
Raw formation energy (kJ per mole of atoms): -8.4
Crystal system: tetragonal
Space-group type: P4/mmm, No. 123

***

Entry 4:
Computed, not measured: a geometry-optimized K4Ac3NdTe8 structure at the PBE level of DFT.

Cell and atoms, written as POSCAR:
```
K4Ac3NdTe8
1.0
-1.3676 -6.9523 6.4517
7.0056 4.0210 5.8180
-7.3649 5.4556 -2.7990
K Te Ac Nd
4 8 3 1
Cartesian
0.0000 0.0000 0.0000
-4.3663 -0.7484 1.8264
-3.6825 2.7278 -1.3995
-0.6838 -3.4762 3.2259
1.5107 -0.5267 3.2055
0.8066 -4.1059 6.5270
-2.9852 -1.2971 5.0862
0.5043 0.3965 7.6508
-3.2377 3.0509 6.2652
-2.2313 2.1278 1.8199
-2.5336 6.6302 2.9437
1.2582 3.8214 4.3846
2.8190 -1.4657 6.1349
-0.1797 4.7383 1.5095
-0.8635 1.2621 4.7354
3.5028 2.0105 2.9090
```

Output
VASP energy (eV/atom): -4.387
Total magnetization (μB per cell): 0.00
Raw formation energy (kJ per mole of atoms): -142.1
Crystal system: trigonal
Space-group type: R-3m, No. 166